--- w ---
First-principles (GGA-PBE) data for NdMg3Cd after structural relaxation, as listed in Alexandria via LeMat-Bulk.

Cell lengths 7.0812, 7.0812, 5.9444 Å; angles 90.00, 90.00, 120.00 degrees
With the nearest neighbours (Å) after each atom.
Element x y z (fractional)
Nd 0.3333 0.6667 0.2500  12 Mg 3.43-3.56
Nd 0.6667 0.3333 0.7500  12 Mg 3.43-3.56
Mg 0.1946 0.3891 0.7500  2 Cd 2.81, 2 Mg 2.95
Mg 0.1946 0.8054 0.7500  2 Cd 2.81, 2 Mg 2.95
Mg 0.3891 0.1946 0.2500  2 Cd 2.81, 2 Mg 2.95
Mg 0.6109 0.8054 0.7500  2 Cd 2.81, 2 Mg 2.95
Mg 0.8054 0.1946 0.2500  2 Cd 2.81, 2 Mg 2.95
Mg 0.8054 0.6109 0.2500  2 Cd 2.81, 2 Mg 2.95
Cd 0.0000 0.0000 0.0000  6 Mg 2.81, 2 Cd 2.97
Cd 0.0000 0.0000 0.5000  6 Mg 2.81, 2 Cd 2.97

Values from the calculation:
Space group: P6_3/mmc, No. 194
N(E_F): 4.26 states/eV per cell

***

--- x ---
First-principles (GGA-PBE) data for NdMg3Cd after structural relaxation, as listed in Alexandria via LeMat-Bulk.

Cell lengths 6.9274, 5.0761, 7.1068 Å; angles 90.00, 90.76, 90.00 degrees
With the nearest neighbours (Å) after each atom.
Element x y z (fractional)
Nd 0.2455 0.2500 0.2312  3 Cd 3.28-3.41, 9 Mg 3.28-3.57
Nd 0.7545 0.7500 0.7688  3 Cd 3.28-3.41, 9 Mg 3.28-3.57
Mg 0.1921 0.7500 0.5456  2 Mg 2.88-3.06, 3 Cd 2.89-3.21
Mg 0.2839 0.7500 0.9415  2 Mg 2.88-3.16, 3 Cd 3.06-3.19
Mg 0.4465 0.2500 0.6969  1 Cd 2.80, 1 Mg 3.06
Mg 0.5535 0.7500 0.3031  1 Cd 2.80, 1 Mg 3.06
Mg 0.7161 0.2500 0.0585  2 Mg 2.88-3.16, 3 Cd 3.06-3.19
Mg 0.8079 0.2500 0.4544  2 Mg 2.88-3.06, 3 Cd 2.89-3.21
Cd 0.0540 0.2500 0.7864  3 Mg 2.80-3.06
Cd 0.9460 0.7500 0.2136  3 Mg 2.80-3.06

Values from the calculation:
Space group: P2_1/m, No. 11
N(E_F): 4.15 states/eV per cell

***

Preferred: x; penalty for the next structure: 8.3 kJ/mol of atoms.

***

--- w ---
First-principles (GGA-PBE) data for NdMg4Cd2 after structural relaxation, as listed in Alexandria via LeMat-Bulk.

Cell lengths 6.0766, 6.0766, 5.8084 Å; angles 118.29, 118.29, 76.59 degrees
With the nearest neighbours (Å) after each atom.
Element x y z (fractional)
Nd 0.0000 0.0000 0.0000  12 Mg 3.26-3.58
Mg 0.0010 0.6100 0.3055  4 Mg 2.95-3.14, 4 Cd 3.08-3.11, 1 Nd 3.26
Mg 0.3900 0.9990 0.6945  4 Mg 2.95-3.14, 4 Cd 3.08-3.11, 1 Nd 3.26
Mg 0.6100 0.0010 0.3055  4 Mg 2.95-3.14, 4 Cd 3.08-3.11, 1 Nd 3.26
Mg 0.9990 0.3900 0.6945  4 Mg 2.95-3.14, 4 Cd 3.08-3.11, 1 Nd 3.26
Cd 0.4983 0.4983 0.2476  2 Cd 2.90-2.91, 8 Mg 3.08-3.11
Cd 0.5017 0.5017 0.7524  2 Cd 2.90-2.91, 8 Mg 3.08-3.11

Values from the calculation:
Space group: C2/m, No. 12
N(E_F): 3.13 states/eV per cell

***

--- x ---
First-principles (GGA-PBE) data for NdMg4Cd2 after structural relaxation, as listed in Alexandria via LeMat-Bulk.

Cell lengths 8.5029, 8.5029, 4.7305 Å; angles 90.00, 90.00, 90.00 degrees
With the nearest neighbours (Å) after each atom.
Element x y z (fractional)
Nd 0.0000 0.0000 0.0000  6 Cd 3.46-3.48, 12 Mg 3.67-3.86
Nd 0.5000 0.5000 0.5000  6 Cd 3.46-3.48, 12 Mg 3.67-3.86
Mg 0.0963 0.3459 0.5000  3 Cd 2.86-2.91, 2 Mg 3.00-3.09
Mg 0.1541 0.5963 0.0000  3 Cd 2.86-2.91, 2 Mg 3.00-3.09
Mg 0.3459 0.0963 0.5000  3 Cd 2.86-2.91, 2 Mg 3.00-3.09
Mg 0.4037 0.8459 0.0000  3 Cd 2.86-2.91, 2 Mg 3.00-3.09
Mg 0.5963 0.1541 0.0000  3 Cd 2.86-2.91, 2 Mg 3.00-3.09
Mg 0.6541 0.9037 0.5000  3 Cd 2.86-2.91, 2 Mg 3.00-3.09
Mg 0.8459 0.4037 0.0000  3 Cd 2.86-2.91, 2 Mg 3.00-3.09
Mg 0.9037 0.6541 0.5000  3 Cd 2.86-2.91, 2 Mg 3.00-3.09
Cd 0.2120 0.7880 0.5000  6 Mg 2.86-2.91
Cd 0.2880 0.2880 0.0000  6 Mg 2.86-2.91
Cd 0.7120 0.7120 0.0000  6 Mg 2.86-2.91
Cd 0.7880 0.2120 0.5000  6 Mg 2.86-2.91

Values from the calculation:
Space group: P4_2/mnm, No. 136
N(E_F): 8.45 states/eV per cell

***

Preferred: x; penalty for the next structure: 4.9 kJ/mol of atoms.

***

--- w ---
First-principles (GGA-PBE) data for NdMg2Cd2 after structural relaxation, as listed in Alexandria via LeMat-Bulk.

Cell lengths 9.6199, 9.6199, 9.6199 Å; angles 158.26, 158.26, 30.93 degrees
With the nearest neighbours (Å) after each atom.
Element x y z (fractional)
Nd 0.0000 0.0000 0.0000  8 Cd 3.36, 4 Nd 3.63, 2 Mg 3.74
Mg 0.2018 0.2018 0.0000  5 Cd 3.01-3.35, 4 Mg 3.13
Mg 0.7982 0.7982 0.0000  5 Cd 3.01-3.35, 4 Mg 3.13
Cd 0.3826 0.3826 0.0000  5 Mg 3.01-3.35, 4 Nd 3.36
Cd 0.6174 0.6174 0.0000  5 Mg 3.01-3.35, 4 Nd 3.36

Values from the calculation:
Space group: I4/mmm, No. 139
N(E_F): 2.26 states/eV per cell

***

--- x ---
First-principles (GGA-PBE) data for NdMg2Cd2 after structural relaxation, as listed in Alexandria via LeMat-Bulk.

Cell lengths 13.0421, 13.0421, 13.0421 Å; angles 160.20, 160.20, 28.15 degrees
With the nearest neighbours (Å) after each atom.
Element x y z (fractional)
Nd 0.1234 0.1234 0.0000  4 Cd 3.42, 4 Mg 3.48
Nd 0.8766 0.8766 0.0000  4 Cd 3.42, 4 Mg 3.48
Mg 0.0000 0.5000 0.5000  4 Cd 2.90, 4 Mg 3.17
Mg 0.3200 0.3200 0.0000  5 Cd 2.71-2.86
Mg 0.5000 0.0000 0.5000  4 Cd 2.90, 4 Mg 3.17
Mg 0.6800 0.6800 0.0000  5 Cd 2.71-2.86
Cd 0.2500 0.7500 0.5000  4 Mg 2.86, 4 Cd 3.17
Cd 0.4271 0.4271 0.0000  5 Mg 2.71-2.90
Cd 0.5729 0.5729 0.0000  5 Mg 2.71-2.90
Cd 0.7500 0.2500 0.5000  4 Mg 2.86, 4 Cd 3.17

Values from the calculation:
Space group: I4/mmm, No. 139
N(E_F): 6.54 states/eV per cell

***

Preferred: w; penalty for the next structure: 3.8 kJ/mol of atoms.

***

--- w ---
First-principles (GGA-PBE) data for Nd3Mg4Cd4 after structural relaxation, as listed in Alexandria via LeMat-Bulk.

Cell lengths 3.4870, 5.0910, 16.1750 Å; angles 98.95, 96.18, 90.02 degrees
With the nearest neighbours (Å) after each atom.
Element x y z (fractional)
Nd 0.0000 0.0000 0.0000  4 Mg 3.42-3.43, 8 Cd 3.43, 2 Nd 3.49
Nd 0.1419 0.6403 0.2822  6 Cd 3.38-3.45, 6 Mg 3.44-3.52, 2 Nd 3.49
Nd 0.8581 0.3597 0.7178  6 Cd 3.38-3.45, 6 Mg 3.44-3.52, 2 Nd 3.49
Mg 0.2618 0.2628 0.5252  4 Cd 3.02-3.05, 4 Mg 3.18-3.19
Mg 0.4057 0.9082 0.8146  3 Cd 2.93
Mg 0.5943 0.0918 0.1854  3 Cd 2.93
Mg 0.7382 0.7372 0.4748  4 Cd 3.02-3.05, 4 Mg 3.18-3.19
Cd 0.3145 0.8158 0.6301  5 Mg 2.93-3.05
Cd 0.4526 0.4530 0.9054  2 Mg 2.93, 1 Cd 3.00
Cd 0.5474 0.5470 0.0946  2 Mg 2.93, 1 Cd 3.00
Cd 0.6855 0.1842 0.3699  5 Mg 2.93-3.05

Values from the calculation:
Space group: P-1, No. 2
N(E_F): 7.59 states/eV per cell

***

--- x ---
First-principles (GGA-PBE) data for Nd3Mg4Cd4 after structural relaxation, as listed in Alexandria via LeMat-Bulk.

Cell lengths 9.0821, 9.0821, 9.0821 Å; angles 149.99, 128.99, 60.32 degrees
With the nearest neighbours (Å) after each atom.
Element x y z (fractional)
Nd 0.0000 0.0000 0.0000  6 Cd 3.36-3.46
Nd 0.3795 0.8795 0.5000  6 Cd 3.37-3.43, 6 Mg 3.46-3.57
Nd 0.6205 0.1205 0.5000  6 Cd 3.37-3.43, 6 Mg 3.46-3.57
Mg 0.0199 0.3264 0.6935  4 Cd 2.87-2.92, 1 Mg 3.03
Mg 0.3672 0.6736 0.6935  4 Cd 2.87-2.92, 1 Mg 3.03
Mg 0.6328 0.3264 0.3065  4 Cd 2.87-2.92, 1 Mg 3.03
Mg 0.9801 0.6736 0.3065  4 Cd 2.87-2.92, 1 Mg 3.03
Cd 0.2205 0.2205 0.0000  6 Mg 2.89-2.92
Cd 0.3072 0.5000 0.8072  2 Mg 2.87, 1 Cd 3.02
Cd 0.6928 0.5000 0.1928  2 Mg 2.87, 1 Cd 3.02
Cd 0.7795 0.7795 0.0000  6 Mg 2.89-2.92

Values from the calculation:
Space group: Immm, No. 71
N(E_F): 13.58 states/eV per cell

***

Preferred: w; penalty for the next structure: 2.9 kJ/mol of atoms.

***

--- w ---
First-principles (GGA-PBE) data for NdMgCdPb after structural relaxation, as listed in Alexandria via LeMat-Bulk.

Cell lengths 5.3266, 5.3266, 5.3266 Å; angles 60.00, 60.00, 60.00 degrees
With the nearest neighbours (Å) after each atom.
Element x y z (fractional)
Nd 0.0000 0.0000 0.0000  4 Cd 3.26, 4 Pb 3.26
Mg 0.5000 0.5000 0.5000  4 Cd 3.26, 4 Pb 3.26
Cd 0.7500 0.7500 0.7500  4 Mg 3.26, 4 Nd 3.26
Pb 0.2500 0.2500 0.2500  4 Nd 3.26, 4 Mg 3.26

Values from the calculation:
Space group: F-43m, No. 216
N(E_F): 3.52 states/eV per cell

***

--- x ---
First-principles (GGA-PBE) data for NdMgCdPb after structural relaxation, as listed in Alexandria via LeMat-Bulk.

Cell lengths 4.5432, 4.7123, 4.9409 Å; angles 90.00, 90.00, 90.00 degrees
With the nearest neighbours (Å) after each atom.
Element x y z (fractional)
Nd 0.0000 0.0000 0.0000  4 Pb 3.27, 4 Cd 3.36, 4 Mg 3.41
Mg 0.0000 0.5000 0.5000  4 Cd 3.27, 4 Pb 3.36, 4 Nd 3.41
Cd 0.5000 0.0000 0.5000  4 Mg 3.27, 4 Nd 3.36, 4 Pb 3.41
Pb 0.5000 0.5000 0.0000  4 Nd 3.27, 4 Mg 3.36, 4 Cd 3.41

Values from the calculation:
Space group: Pmmm, No. 47
N(E_F): 1.81 states/eV per cell

***

Preferred: x; penalty for the next structure: 11.1 kJ/mol of atoms.

***

--- w ---
First-principles (GGA-PBE) data for SrNdMgCd after structural relaxation, as listed in Alexandria via LeMat-Bulk.

Cell lengths 4.0041, 4.0041, 7.9338 Å; angles 90.00, 90.00, 90.00 degrees
With the nearest neighbours (Å) after each atom.
Element x y z (fractional)
Sr 0.0000 0.0000 0.0000  4 Cd 3.55, 4 Mg 3.61, 1 Nd 3.87
Nd 0.0000 0.0000 0.5128  4 Cd 3.31, 4 Mg 3.37
Mg 0.5000 0.5000 0.2823  4 Nd 3.37, 1 Cd 3.55, 4 Sr 3.61
Cd 0.5000 0.5000 0.7301  4 Nd 3.31, 4 Sr 3.55, 1 Mg 3.55

Values from the calculation:
Space group: P4mm, No. 99
N(E_F): 3.99 states/eV per cell

***

--- x ---
First-principles (GGA-PBE) data for SrNdMgCd after structural relaxation, as listed in Alexandria via LeMat-Bulk.

Cell lengths 5.6255, 5.6255, 5.6255 Å; angles 60.00, 60.00, 60.00 degrees
With the nearest neighbours (Å) after each atom.
Element x y z (fractional)
Sr 0.0000 0.0000 0.0000  4 Mg 3.44, 4 Cd 3.44
Nd 0.5000 0.5000 0.5000  4 Mg 3.44, 4 Cd 3.44
Mg 0.7500 0.7500 0.7500  4 Nd 3.44, 4 Sr 3.44
Cd 0.2500 0.2500 0.2500  4 Nd 3.44, 4 Sr 3.44

Values from the calculation:
Space group: F-43m, No. 216
N(E_F): 3.07 states/eV per cell

***

Preferred: w; penalty for the next structure: 2.6 kJ/mol of atoms.